(1)
An optimized crystal structure of Al3Cr, computed with PBE.

For the electronic total energy, the calculation gives -5.07 eV/atom. The density is 3.53 g cm⁻³. The total magnetization comes out at 0.0 μB/f.u.

The space group is Cmcm (No. 63) and the conventional cell measures 7.678, 7.278 and 4.479 Å, with angles of 90.00, 90.00 and 90.00 degrees. The asymmetric unit holds Al at (0.000, 0.084, 0.250), Al at (0.169, 0.272, 0.750) and Cr at (0.000, 0.414, 0.250).



(2)
An optimized crystal structure of Nd6MgSe8, computed with PBE.

For the electronic total energy, the calculation gives -5.57 eV/atom. The density is 6.37 g cm⁻³. The total magnetization comes out at 0.0 μB/f.u.

The space group is R-3 (No. 148, hexagonal axes) and the conventional cell measures 8.7642, 8.7642 and 17.9007 Å, with angles of 90.00, 90.00 and 120.00 degrees. The asymmetric unit holds Nd at (0.0054, 0.3902, 0.0816), Mg at (0.0000, 0.0000, 0.0000), Se at (0.0000, 0.0000, 0.3263) and Se at (0.0036, 0.7394, 0.0871).



(3)
An optimized crystal structure of AgPH2Pb, computed with PBE.

For the electronic total energy, the calculation gives -3.21 eV/atom. The density is 6.84 g cm⁻³. The total magnetization comes out at 0.0 μB/f.u.

The space group is P4/mmm (No. 123) and the conventional cell measures 3.871, 3.871 and 5.638 Å, with angles of 90.00, 90.00 and 90.00 degrees. The asymmetric unit holds Ag at (0.000, 0.000, 0.000), P at (0.500, 0.500, 0.500), H at (0.000, 0.500, 0.500) and Pb at (0.500, 0.500, 0.000).



(4)
An optimized crystal structure of LuPaH3, computed with PBE.

For the electronic total energy, the calculation gives -4.90 eV/atom. The density is 9.81 g cm⁻³. The total magnetization comes out at 0.0 μB/f.u.

The space group is Pm-3m (No. 221) and the conventional cell measures 4.106, 4.106 and 4.106 Å, with angles of 90.00, 90.00 and 90.00 degrees. The asymmetric unit holds Lu at (0.000, 0.000, 0.000), Pa at (0.500, 0.500, 0.500) and H at (0.000, 0.500, 0.500).